## CsCaCr2O8 (PBE with a Hubbard U)

Data for a relaxed CsCaCr2O8 crystal.

Values from the calculation:
space-group type = P-3, No. 147
calculated total energy = -6.40 eV per atom

abc: 5.873 5.873 8.501
angles: 90.00 90.00 120.00
Each line ends with the local moment (μB).
Atoms (fractional coordinates):
1 Cs 0.000 0.000 0.000  0.00
2 Ca 0.000 0.000 0.500  0.00
3 Cr 0.667 0.333 0.263  -0.17
4 Cr 0.333 0.667 0.737  -0.17
5 O 0.333 0.667 0.930  0.14
6 O 0.357 0.179 0.327  0.15
7 O 0.821 0.177 0.327  0.15
8 O 0.667 0.333 0.070  0.14
9 O 0.179 0.823 0.673  0.15
10 O 0.643 0.821 0.673  0.15
11 O 0.177 0.357 0.673  0.15
12 O 0.823 0.643 0.327  0.15